DFT (PBE with a Hubbard U) results for crystalline CdNi2RuO6 at its relaxed geometry.

abc: 5.3337 5.3337 5.1464
angles: 90.00 90.00 90.00
Closest atoms and distances in Å follow each position.
Element x y z (fractional)
Cd  0.0000  0.0000  0.0000  1 O 2.05
Ni  0.0000  0.5000  0.3844  4 O 2.02
Ni  0.5000  0.0000  0.3844  4 O 2.02
Ru  0.5000  0.5000  0.0897  1 O 1.69
O  0.0000  0.0000  0.6021  1 Cd 2.05
O  0.2672  0.2672  0.2432  1 Ru 1.93, 2 Ni 2.02
O  0.2672  0.7328  0.2432  1 Ru 1.93, 2 Ni 2.02
O  0.5000  0.5000  0.7606  1 Ru 1.69
O  0.7328  0.2672  0.2432  1 Ru 1.93, 2 Ni 2.02
O  0.7328  0.7328  0.2432  1 Ru 1.93, 2 Ni 2.02

Values from the calculation:
total DFT energy (no corrections)	-50.874	eV for the cell shown
size of the total moment	0.408	μB per atom